This record from Alexandria describes a relaxed TbSmMgCr crystal. The functional is PBE-GGA.

a = 5.254 Å, b = 5.254 Å, c = 5.254 Å
α = 60.00°, β = 60.00°, γ = 60.00°
Fractional positions:
Tb1 0.250 0.250 0.250
Mg1 0.000 0.000 0.000
Sm1 0.750 0.750 0.750
Cr1 0.500 0.500 0.500

Calculated values
The value obtained for the total energy is -4.992 eV/atom. The calculation puts the spin magnetization at 3.6 μB per formula unit. The value obtained for the formation energy is 0.150 eV/atom.